# 1
# Sm3HoTm6

Crystalline Sm3HoTm6 at its relaxed geometry (PBE, Alexandria).

Cell: 6.4673 9.4990 6.5004 Å, 110.57 120.07 89.61°
Atoms (fractional coordinates):
Sm: 0.8592 0.3093 0.8667
Ho: 0.5000 0.5000 0.0000
Tm: 0.6530 0.9483 0.2974
Tm: 0.4395 0.3137 0.3048
Tm: 0.5605 0.6863 0.6952
Tm: 0.9933 0.6864 0.5544
Tm: 0.0067 0.3136 0.4456
Sm: 0.0000 0.0000 0.0000
Tm: 0.3470 0.0517 0.7026
Sm: 0.1408 0.6907 0.1333

Energy of formation: 167.4 meV per atom
Offset from the most stable computed form: 16 meV/atom
Raw total energy: -43.9 eV for the cell shown

# 2
# Rb2SbTe5

Crystalline Rb2SbTe5 at its relaxed geometry (PBE, Alexandria).

Cell: 8.2464 6.4393 9.6098 Å, 106.89 128.26 91.51°
Atoms (fractional coordinates):
Rb: 0.2444 0.7777 0.5738
Rb: 0.7761 0.2162 0.4636
Te: 0.3289 0.2603 0.9775
Sb: 0.9569 0.9316 0.9108
Te: 0.3046 0.7448 0.9815
Te: 0.8050 0.7954 0.0850
Te: 0.6369 0.7312 0.5198
Te: 0.7242 0.3198 0.0420

Formation energy from raw total energies: -3.2 eV/f.u.
Raw total energy: -24.9 eV for the cell shown

# 3
# BSbSe3

Crystalline BSbSe3 at its relaxed geometry (PBE, Alexandria).

Cell: 4.5649 4.5649 4.5649 Å, 90.00 90.00 90.00°
Atoms (fractional coordinates):
Se: 0.0000 0.5000 0.0000
Se: 0.0000 0.0000 0.5000
Sb: 0.5000 0.5000 0.5000
Se: 0.5000 0.0000 0.0000
B: 0.0000 0.0000 0.0000

Offset from the most stable computed form: 579 meV/atom
Formation energy from raw total energies: 2.6 eV/f.u.
Raw total energy: -18.6 eV for the cell shown

# 4
# Te2IrIF

Crystalline Te2IrIF at its relaxed geometry (PBE, Alexandria).

Cell: 4.5536 4.5536 6.2263 Å, 90.00 90.00 90.00°
Atoms (fractional coordinates):
I: 0.0000 0.0000 0.5000
Ir: 0.5000 0.5000 0.5000
Te: 0.5000 0.0000 0.0000
Te: 0.0000 0.5000 0.0000
F: 0.0000 0.0000 0.0000

Offset from the most stable computed form: 585 meV/atom
Formation energy from raw total energies: 4.3 eV/f.u.
Raw total energy: -14.3 eV for the cell shown

# 5
# Np2ClO6

Crystalline Np2ClO6 at its relaxed geometry (PBE, Alexandria).

Cell: 3.6100 7.1123 8.2693 Å, 101.56 92.48 54.54°
Atoms (fractional coordinates):
Np: 0.3083 0.6738 0.7004
O: 0.5488 0.3502 0.5583
Cl: 0.0000 0.0000 0.0000
O: 0.7062 0.8670 0.6604
O: 0.2938 0.1330 0.3396
O: 0.1376 0.4674 0.2083
O: 0.4512 0.6498 0.4417
Np: 0.6917 0.3262 0.2996
O: 0.8624 0.5326 0.7917

Formation energy from raw total energies: -20.1 eV/f.u.
Raw total energy: -77.6 eV for the cell shown

# 6
# Pm3HgGe4

Crystalline Pm3HgGe4 at its relaxed geometry (PBE, Alexandria).

Cell: 4.3482 6.1401 8.6101 Å, 110.89 104.63 90.00°
Atoms (fractional coordinates):
Ge: 0.3709 0.1723 0.7417
Ge: 0.6291 0.4306 0.2583
Ge: 0.3709 0.5694 0.7417
Pm: 0.0000 0.5000 0.0000
Pm: 0.8114 0.8114 0.6229
Hg: 0.5000 0.0000 0.0000
Ge: 0.6291 0.8277 0.2583
Pm: 0.1886 0.1886 0.3771

Energy of formation: -550.2 meV per atom
Raw total energy: -37.4 eV for the cell shown